Record 1
# CrFe2SbC, optimized geometry, DFT GGA-PBE
data_CrFe2SbC
_cell_length_a 3.8247
_cell_length_b 3.8247
_cell_length_c 3.9397
_cell_angle_alpha 90.00
_cell_angle_beta 90.00
_cell_angle_gamma 90.00
_space_group_name_H-M_alt 'P 4/m m m'
_space_group_IT_number 123
_space_group_name_Hall '-P 4 2'
loop_
_atom_site_label
_atom_site_fract_x
_atom_site_fract_y
_atom_site_fract_z
Cr1 0.0000 0.0000 0.0000
Fe1 0.0000 0.5000 0.5000
Sb1 0.5000 0.5000 0.0000
C1 0.0000 0.0000 0.5000
# Formation energy from raw total energies (meV/atom): 119.5
# Spin magnetization (μB/f.u.): 0.79
# Fermi-level density of states (states/eV per cell): 4.498

---

Record 2
# ZnInW, optimized geometry, DFT GGA-PBE
data_ZnInW
_cell_length_a 2.8896
_cell_length_b 3.7894
_cell_length_c 9.6690
_cell_angle_alpha 90.00
_cell_angle_beta 90.00
_cell_angle_gamma 90.00
_space_group_name_H-M_alt 'I m m 2'
_space_group_IT_number 44
loop_
_space_group_symop_operation_xyz
'x,y,z'
'-x,-y,z'
'-x,y,z'
'x,-y,z'
'x+1/2,y+1/2,z+1/2'
'-x+1/2,-y+1/2,z+1/2'
'-x+1/2,y+1/2,z+1/2'
'x+1/2,-y+1/2,z+1/2'
loop_
_atom_site_label
_atom_site_fract_x
_atom_site_fract_y
_atom_site_fract_z
Zn1 0.0000 0.0000 0.0000
In1 0.0000 0.0000 0.6827
W1 0.0000 0.0000 0.3677
# Offset from the most stable computed form (kJ/mol of atoms): 8.06
# ΔE_f (eV/atom): 0.5544
# Spin magnetization (μB/f.u.): 0.00
# Fermi-level density of states (states/eV per cell): 3.279

---

Record 3
# Ac2HgGe3, optimized geometry, DFT GGA-PBE
data_Ac2HgGe3
_cell_length_a 4.6141
_cell_length_b 4.6476
_cell_length_c 15.2417
_cell_angle_alpha 90.00
_cell_angle_beta 90.00
_cell_angle_gamma 90.00
_space_group_name_H-M_alt 'I m m 2'
_space_group_IT_number 44
loop_
_space_group_symop_operation_xyz
'x,y,z'
'-x,-y,z'
'-x,y,z'
'x,-y,z'
'x+1/2,y+1/2,z+1/2'
'-x+1/2,-y+1/2,z+1/2'
'-x+1/2,y+1/2,z+1/2'
'x+1/2,-y+1/2,z+1/2'
loop_
_atom_site_label
_atom_site_fract_x
_atom_site_fract_y
_atom_site_fract_z
Ac1 0.0000 0.0000 0.0000
Ac2 0.0000 0.5000 0.2390
Hg1 0.0000 0.0000 0.4100
Ge1 0.0000 0.0000 0.5827
Ge2 0.0000 0.5000 0.6581
Ge3 0.0000 0.5000 0.8221
# Offset from the most stable computed form (kJ/mol of atoms): 0.00
# ΔE_f (eV/atom): -0.6031
# Spin magnetization (μB/f.u.): 0.00
# Fermi-level density of states (states/eV per cell): 3.311

---

Record 4
# Pr2Zn3Si, optimized geometry, DFT GGA-PBE
data_Pr2Zn3Si
_cell_length_a 7.7722
_cell_length_b 8.8645
_cell_length_c 15.3024
_cell_angle_alpha 90.00
_cell_angle_beta 90.00
_cell_angle_gamma 90.00
_space_group_name_H-M_alt 'F m m m'
_space_group_IT_number 69
_space_group_name_Hall '-F 2 2'
loop_
_atom_site_label
_atom_site_fract_x
_atom_site_fract_y
_atom_site_fract_z
Pr1 0.2434 0.0000 0.0000
Pr2 0.2500 0.2500 0.2500
Zn1 0.0000 0.0000 0.1689
Zn2 0.0000 0.2452 0.4164
Si1 0.0000 0.0000 0.3342
# Formation energy from raw total energies (meV/atom): -478.3
# Spin magnetization (μB/f.u.): 0.00
# Fermi-level density of states (states/eV per cell): 34.394

---

Record 5
# BaNiP2Cl, optimized geometry, DFT GGA-PBE
data_BaNiP2Cl
_cell_length_a 4.3437
_cell_length_b 4.3437
_cell_length_c 6.3075
_cell_angle_alpha 90.00
_cell_angle_beta 90.00
_cell_angle_gamma 90.00
_space_group_name_H-M_alt 'P 4/m m m'
_space_group_IT_number 123
_space_group_name_Hall '-P 4 2'
loop_
_atom_site_label
_atom_site_fract_x
_atom_site_fract_y
_atom_site_fract_z
Ba1 0.0000 0.0000 0.0000
Ni1 0.5000 0.5000 0.5000
P1 0.0000 0.5000 0.5000
Cl1 0.5000 0.5000 0.0000
# Formation energy from raw total energies (meV/atom): -638.2
# Spin magnetization (μB/f.u.): 1.09
# Fermi-level density of states (states/eV per cell): 1.411

---

Record 6
# Er2TmIn4, optimized geometry, DFT GGA-PBE
data_Er2TmIn4
_cell_length_a 7.3394
_cell_length_b 7.3394
_cell_length_c 7.3715
_cell_angle_alpha 90.00
_cell_angle_beta 90.00
_cell_angle_gamma 90.00
_space_group_name_H-M_alt 'I 4/m m m'
_space_group_IT_number 139
_space_group_name_Hall '-I 4 2'
loop_
_atom_site_label
_atom_site_fract_x
_atom_site_fract_y
_atom_site_fract_z
Er1 0.0000 0.5000 0.0000
Tm1 0.0000 0.0000 0.0000
In1 0.2500 0.2500 0.2500
# ΔE_f (eV/atom): -0.3099
# Spin magnetization (μB/f.u.): 0.00
# Fermi-level density of states (states/eV per cell): 10.230

---

Record 7
# LaPmY2, optimized geometry, DFT GGA-PBE
data_LaPmY2
_cell_length_a 5.1789
_cell_length_b 5.1789
_cell_length_c 5.0696
_cell_angle_alpha 90.00
_cell_angle_beta 90.00
_cell_angle_gamma 90.00
_space_group_name_H-M_alt 'P 4/m m m'
_space_group_IT_number 123
_space_group_name_Hall '-P 4 2'
loop_
_atom_site_label
_atom_site_fract_x
_atom_site_fract_y
_atom_site_fract_z
La1 0.0000 0.0000 0.0000
Pm1 0.5000 0.5000 0.0000
Y1 0.0000 0.5000 0.5000
# Offset from the most stable computed form (kJ/mol of atoms): 1.41
# ΔE_f (eV/atom): 0.0245
# Spin magnetization (μB/f.u.): 0.00
# Fermi-level density of states (states/eV per cell): 6.789

---

Record 8
# MnBeRh, optimized geometry, DFT GGA-PBE
data_MnBeRh
_cell_length_a 12.9134
_cell_length_b 3.6244
_cell_length_c 2.8630
_cell_angle_alpha 90.00
_cell_angle_beta 102.78
_cell_angle_gamma 90.00
_space_group_name_H-M_alt 'C 1 m 1'
_space_group_IT_number 8
loop_
_space_group_symop_operation_xyz
'x,y,z'
'x,-y,z'
'x+1/2,y+1/2,z'
'x+1/2,-y+1/2,z'
loop_
_atom_site_label
_atom_site_fract_x
_atom_site_fract_y
_atom_site_fract_z
Mn1 0.0000 0.0000 0.0000
Mn2 0.0000 0.5000 0.4662
Be1 0.1430 0.0000 0.6278
Be2 0.3569 0.5000 0.3425
Rh1 0.1727 0.5000 0.1486
Rh2 0.3273 0.0000 0.8041
# Offset from the most stable computed form (kJ/mol of atoms): 9.79
# ΔE_f (eV/atom): -0.2410
# Spin magnetization (μB/f.u.): 0.00
# Fermi-level density of states (states/eV per cell): 8.250

---

Record 9
# ZnGaS2N, optimized geometry, DFT GGA-PBE
data_ZnGaS2N
_cell_length_a 4.8822
_cell_length_b 4.8822
_cell_length_c 3.7339
_cell_angle_alpha 90.00
_cell_angle_beta 90.00
_cell_angle_gamma 90.00
_space_group_name_H-M_alt 'P 4/m m m'
_space_group_IT_number 123
_space_group_name_Hall '-P 4 2'
loop_
_atom_site_label
_atom_site_fract_x
_atom_site_fract_y
_atom_site_fract_z
Zn1 0.0000 0.0000 0.0000
Ga1 0.5000 0.5000 0.5000
S1 0.0000 0.5000 0.5000
N1 0.5000 0.5000 0.0000
# Offset from the most stable computed form (kJ/mol of atoms): 0.00
# Formation energy from raw total energies (meV/atom): 702.1
# Spin magnetization (μB/f.u.): 2.03
# Fermi-level density of states (states/eV per cell): 2.288

---

Record 10
# BaYTe3, optimized geometry, DFT GGA-PBE
data_BaYTe3
_cell_length_a 6.1882
_cell_length_b 6.1882
_cell_length_c 6.1882
_cell_angle_alpha 90.00
_cell_angle_beta 90.00
_cell_angle_gamma 90.00
_space_group_name_H-M_alt 'P m -3 m'
_space_group_IT_number 221
_space_group_name_Hall '-P 4 2 3'
loop_
_atom_site_label
_atom_site_fract_x
_atom_site_fract_y
_atom_site_fract_z
Ba1 0.0000 0.0000 0.0000
Y1 0.5000 0.5000 0.5000
Te1 0.0000 0.0000 0.5000
# Offset from the most stable computed form (kJ/mol of atoms): 122.28
# Formation energy from raw total energies (meV/atom): 84.6
# Spin magnetization (μB/f.u.): 0.00
# Fermi-level density of states (states/eV per cell): 5.780

---

Record 11
# InTePt3, optimized geometry, DFT GGA-PBE
data_InTePt3
_cell_length_a 5.0076
_cell_length_b 5.0076
_cell_length_c 5.0076
_cell_angle_alpha 90.00
_cell_angle_beta 90.00
_cell_angle_gamma 90.00
_space_group_name_H-M_alt 'P m -3 m'
_space_group_IT_number 221
_space_group_name_Hall '-P 4 2 3'
loop_
_atom_site_label
_atom_site_fract_x
_atom_site_fract_y
_atom_site_fract_z
In1 0.0000 0.0000 0.0000
Te1 0.5000 0.5000 0.5000
Pt1 0.0000 0.5000 0.5000
# Offset from the most stable computed form (kJ/mol of atoms): 0.00
# Formation energy from raw total energies (meV/atom): 553.7
# Spin magnetization (μB/f.u.): 0.00
# Fermi-level density of states (states/eV per cell): 12.915

---

Record 12
# VMoS2N, optimized geometry, DFT GGA-PBE
data_VMoS2N
_cell_length_a 4.6918
_cell_length_b 4.6918
_cell_length_c 3.5963
_cell_angle_alpha 90.00
_cell_angle_beta 90.00
_cell_angle_gamma 90.00
_space_group_name_H-M_alt 'P 4/m m m'
_space_group_IT_number 123
_space_group_name_Hall '-P 4 2'
loop_
_atom_site_label
_atom_site_fract_x
_atom_site_fract_y
_atom_site_fract_z
V1 0.0000 0.0000 0.0000
Mo1 0.5000 0.5000 0.5000
S1 0.0000 0.5000 0.0000
N1 0.0000 0.0000 0.5000
# Offset from the most stable computed form (kJ/mol of atoms): 6.75
# Formation energy from raw total energies (meV/atom): 327.1
# Spin magnetization (μB/f.u.): 3.54
# Fermi-level density of states (states/eV per cell): 2.544

---

Record 13
# BiAu3I, optimized geometry, DFT GGA-PBE
data_BiAu3I
_cell_length_a 5.4303
_cell_length_b 5.4303
_cell_length_c 5.4303
_cell_angle_alpha 90.00
_cell_angle_beta 90.00
_cell_angle_gamma 90.00
_space_group_name_H-M_alt 'P m -3 m'
_space_group_IT_number 221
_space_group_name_Hall '-P 4 2 3'
loop_
_atom_site_label
_atom_site_fract_x
_atom_site_fract_y
_atom_site_fract_z
Bi1 0.0000 0.0000 0.0000
Au1 0.0000 0.0000 0.5000
I1 0.5000 0.5000 0.5000
# Offset from the most stable computed form (kJ/mol of atoms): 0.00
# Formation energy from raw total energies (meV/atom): 552.6
# Spin magnetization (μB/f.u.): 0.00
# Fermi-level density of states (states/eV per cell): 6.345

---

Record 14
# Cs3Tm3NbS8, optimized geometry, DFT GGA-PBE
data_Cs3Tm3NbS8
_cell_length_a 7.8352
_cell_length_b 7.8352
_cell_length_c 24.6161
_cell_angle_alpha 90.00
_cell_angle_beta 90.00
_cell_angle_gamma 120.00
_space_group_name_H-M_alt 'R -3 m'
_space_group_IT_number 166
_space_group_name_Hall '-R 3 2"'
loop_
_atom_site_label
_atom_site_fract_x
_atom_site_fract_y
_atom_site_fract_z
Cs1 0.0000 0.5000 0.0000
Tm1 0.0000 0.5000 0.5000
Nb1 0.0000 0.0000 0.5000
S1 0.0000 0.0000 0.2266
S2 0.0186 0.5093 0.2243
# Formation energy from raw total energies (meV/atom): -1633.9
# Spin magnetization (μB/f.u.): 1.01
# Fermi-level density of states (states/eV per cell): 14.078

---

Record 15
# K2TeSe, optimized geometry, DFT GGA-PBE
data_K2TeSe
_cell_length_a 3.9223
_cell_length_b 5.4368
_cell_length_c 12.9915
_cell_angle_alpha 90.00
_cell_angle_beta 90.00
_cell_angle_gamma 90.00
_space_group_name_H-M_alt 'I m m 2'
_space_group_IT_number 44
loop_
_space_group_symop_operation_xyz
'x,y,z'
'-x,-y,z'
'-x,y,z'
'x,-y,z'
'x+1/2,y+1/2,z+1/2'
'-x+1/2,-y+1/2,z+1/2'
'-x+1/2,y+1/2,z+1/2'
'x+1/2,-y+1/2,z+1/2'
loop_
_atom_site_label
_atom_site_fract_x
_atom_site_fract_y
_atom_site_fract_z
K1 0.0000 0.0000 0.0000
K2 0.0000 0.5000 0.2131
Te1 0.0000 0.0000 0.4044
Se1 0.0000 0.5000 0.7175
# Offset from the most stable computed form (kJ/mol of atoms): 19.09
# Formation energy from raw total energies (meV/atom): -638.3
# Spin magnetization (μB/f.u.): 0.00
# Fermi-level density of states (states/eV per cell): 5.706

---

Record 16
# BaSm4Ge4, optimized geometry, DFT GGA-PBE
data_BaSm4Ge4
_cell_length_a 9.8336
_cell_length_b 9.8336
_cell_length_c 5.8837
_cell_angle_alpha 90.00
_cell_angle_beta 90.00
_cell_angle_gamma 90.00
_space_group_name_H-M_alt 'P 42/n'
_space_group_IT_number 86
loop_
_space_group_symop_operation_xyz
'x,y,z'
'-x,-y,-z'
'-y,x+1/2,z+1/2'
'y,-x+1/2,-z+1/2'
'-x+1/2,-y+1/2,z'
'x+1/2,y+1/2,-z'
'y+1/2,-x,z+1/2'
'-y+1/2,x,-z+1/2'
loop_
_atom_site_label
_atom_site_fract_x
_atom_site_fract_y
_atom_site_fract_z
Ba1 0.2500 0.2500 0.2500
Sm1 0.1158 0.6292 0.1338
Ge1 0.0701 0.5720 0.6454
# ΔE_f (eV/atom): -0.6247
# Spin magnetization (μB/f.u.): 0.00
# Fermi-level density of states (states/eV per cell): 8.220

---

Record 17
# RbCo, optimized geometry, DFT GGA-PBE
data_RbCo
_cell_length_a 4.1408
_cell_length_b 10.3682
_cell_length_c 10.3733
_cell_angle_alpha 90.00
_cell_angle_beta 90.00
_cell_angle_gamma 90.00
_space_group_name_H-M_alt 'P m m n'
_space_group_IT_number 59
loop_
_space_group_symop_operation_xyz
'x,y,z'
'-x,-y,-z'
'-x+1/2,-y+1/2,z'
'x+1/2,y+1/2,-z'
'x+1/2,-y,-z'
'-x+1/2,y,z'
'-x,y+1/2,-z'
'x,-y+1/2,z'
loop_
_atom_site_label
_atom_site_fract_x
_atom_site_fract_y
_atom_site_fract_z
Rb1 0.2500 0.0700 0.2079
Rb2 0.2500 0.2500 0.6778
Co1 0.2500 0.5418 0.5149
Co2 0.2500 0.7500 0.5713
# Offset from the most stable computed form (kJ/mol of atoms): 10.58
# ΔE_f (eV/atom): 0.7871
# Spin magnetization (μB/f.u.): 1.44
# Fermi-level density of states (states/eV per cell): 13.901

---

Record 18
# SrCrPd, optimized geometry, DFT GGA-PBE
data_SrCrPd
_cell_length_a 4.4372
_cell_length_b 9.1109
_cell_length_c 7.6749
_cell_angle_alpha 90.00
_cell_angle_beta 90.00
_cell_angle_gamma 90.00
_space_group_name_H-M_alt 'I m m 2'
_space_group_IT_number 44
loop_
_space_group_symop_operation_xyz
'x,y,z'
'-x,-y,z'
'-x,y,z'
'x,-y,z'
'x+1/2,y+1/2,z+1/2'
'-x+1/2,-y+1/2,z+1/2'
'-x+1/2,y+1/2,z+1/2'
'x+1/2,-y+1/2,z+1/2'
loop_
_atom_site_label
_atom_site_fract_x
_atom_site_fract_y
_atom_site_fract_z
Sr1 0.0000 0.0000 0.0000
Sr2 0.0000 0.5000 0.0014
Cr1 0.0000 0.2507 0.6674
Pd1 0.0000 0.2495 0.3338
# Offset from the most stable computed form (kJ/mol of atoms): 7.20
# ΔE_f (eV/atom): 0.0741
# Spin magnetization (μB/f.u.): 4.25
# Fermi-level density of states (states/eV per cell): 3.445

---

Record 19
# Al12Fe, optimized geometry, DFT GGA-PBE
data_Al12Fe
_cell_length_a 7.4668
_cell_length_b 7.4668
_cell_length_c 7.4668
_cell_angle_alpha 90.00
_cell_angle_beta 90.00
_cell_angle_gamma 90.00
_space_group_name_H-M_alt 'I m -3'
_space_group_IT_number 204
_space_group_name_Hall '-I 2 2 3'
loop_
_atom_site_label
_atom_site_fract_x
_atom_site_fract_y
_atom_site_fract_z
Al1 0.0000 0.1875 0.3039
Fe1 0.0000 0.0000 0.0000
# ΔE_f (eV/atom): -0.0978
# Spin magnetization (μB/f.u.): 0.00
# Fermi-level density of states (states/eV per cell): 3.931

---

Record 20
# ZrCoRu2, optimized geometry, DFT GGA-PBE
data_ZrCoRu2
_cell_length_a 3.2436
_cell_length_b 3.2436
_cell_length_c 5.7854
_cell_angle_alpha 90.00
_cell_angle_beta 90.00
_cell_angle_gamma 90.00
_space_group_name_H-M_alt 'P 4 m m'
_space_group_IT_number 99
loop_
_space_group_symop_operation_xyz
'x,y,z'
'-y,x,z'
'-x,-y,z'
'y,-x,z'
'-x,y,z'
'y,x,z'
'x,-y,z'
'-y,-x,z'
loop_
_atom_site_label
_atom_site_fract_x
_atom_site_fract_y
_atom_site_fract_z
Zr1 0.0000 0.0000 0.0000
Co1 0.5000 0.5000 0.2733
Ru1 0.0000 0.0000 0.4684
Ru2 0.5000 0.5000 0.7203
# Offset from the most stable computed form (kJ/mol of atoms): 16.40
# ΔE_f (eV/atom): 0.0359
# Spin magnetization (μB/f.u.): 1.34
# Fermi-level density of states (states/eV per cell): 5.431